Tl2HgP PBE relaxed; E_form = 0.221 eV/atom; total DFT energy (no corrections) = -2.390 eV per atom
1.0
0.000 3.746 3.746
3.746 0.000 3.746
3.746 3.746 0.000
Tl Hg P
2 1 1
Direct
0.250 0.250 0.250
0.750 0.750 0.750
0.500 0.500 0.500
0.000 0.000 0.000